First-principles (PBE) data for an optimized crystal structure of LiU2InSe4, as listed in Alexandria via LeMat-Bulk.

**DOS(E_F)**: 20.46 states/eV per cell
**ΔE_f (raw)**: -0.952 eV per atom
**Total energy**: -6.098 eV/atom

Lattice parameters (Å, degrees): 7.264 7.264 14.830 90.00 90.00 146.84
Element x y z (fractional)
Li  0.173  0.827  0.750
Li  0.827  0.173  0.250
U  0.366  0.634  0.060
U  0.366  0.634  0.440
U  0.634  0.366  0.560
U  0.634  0.366  0.940
In  0.102  0.898  0.250
In  0.898  0.102  0.750
Se  0.000  0.000  0.000
Se  0.000  0.000  0.500
Se  0.270  0.730  0.609
Se  0.270  0.730  0.891
Se  0.427  0.573  0.250
Se  0.573  0.427  0.750
Se  0.730  0.270  0.109
Se  0.730  0.270  0.391



First-principles (PBE) data for an optimized crystal structure of LiU2In3Se6, as listed in Alexandria via LeMat-Bulk.

**DOS(E_F)**: 13.79 states/eV per cell
**ΔE_f (raw)**: -0.841 eV per atom
**Total energy**: -5.308 eV/atom

Lattice parameters (Å, degrees): 7.122 7.122 8.077 98.28 98.28 120.11
Element x y z (fractional)
Li  0.000  0.000  0.000
U  0.333  0.667  0.000
U  0.667  0.333  0.000
In  0.161  0.839  0.500
In  0.500  0.500  0.500
In  0.839  0.161  0.500
Se  0.070  0.416  0.211
Se  0.275  0.275  0.799
Se  0.416  0.070  0.211
Se  0.584  0.930  0.789
Se  0.725  0.725  0.201
Se  0.930  0.584  0.789



First-principles (PBE) data for an optimized crystal structure of Li3U3InSe8, as listed in Alexandria via LeMat-Bulk.

**DOS(E_F)**: 15.26 states/eV per cell
**ΔE_f (raw)**: -1.059 eV per atom
**Total energy**: -5.741 eV/atom

Lattice parameters (Å, degrees): 8.026 8.026 8.026 60.96 60.96 60.96
Element x y z (fractional)
Li  0.000  0.500  0.500
Li  0.500  0.000  0.500
Li  0.500  0.500  0.000
U  0.000  0.000  0.500
U  0.000  0.500  0.000
U  0.500  0.000  0.000
In  0.500  0.500  0.500
Se  0.251  0.251  0.747
Se  0.251  0.747  0.251
Se  0.253  0.253  0.253
Se  0.253  0.749  0.749
Se  0.747  0.251  0.251
Se  0.747  0.747  0.747
Se  0.749  0.253  0.749
Se  0.749  0.749  0.253



First-principles (PBE) data for an optimized crystal structure of Li3Y3InSe8, as listed in Alexandria via LeMat-Bulk.

**DOS(E_F)**: 8.38 states/eV per cell
**ΔE_f (raw)**: -1.381 eV per atom
**Total energy**: -5.098 eV/atom

Lattice parameters (Å, degrees): 7.944 7.944 7.944 61.44 61.44 61.44
Element x y z (fractional)
Li  0.000  0.500  0.500
Li  0.500  0.000  0.500
Li  0.500  0.500  0.000
Y  0.000  0.000  0.500
Y  0.000  0.500  0.000
Y  0.500  0.000  0.000
In  0.500  0.500  0.500
Se  0.252  0.252  0.252
Se  0.253  0.253  0.741
Se  0.253  0.741  0.253
Se  0.259  0.747  0.747
Se  0.741  0.253  0.253
Se  0.747  0.259  0.747
Se  0.747  0.747  0.259
Se  0.748  0.748  0.748



First-principles (PBE) data for an optimized crystal structure of LiZn2InSe4, as listed in Alexandria via LeMat-Bulk.

**ΔE_f (raw)**: -0.789 eV per atom
**Total energy**: -3.431 eV/atom

Lattice parameters (Å, degrees): 5.844 5.844 11.766 90.00 90.00 90.00
Element x y z (fractional)
Li  0.000  0.000  0.000
Li  0.500  0.500  0.500
Zn  0.000  0.500  0.250
Zn  0.000  0.500  0.750
Zn  0.500  0.000  0.250
Zn  0.500  0.000  0.750
In  0.000  0.000  0.500
In  0.500  0.500  0.000
Se  0.243  0.243  0.131
Se  0.243  0.757  0.869
Se  0.257  0.257  0.631
Se  0.257  0.743  0.369
Se  0.743  0.257  0.369
Se  0.743  0.743  0.631
Se  0.757  0.243  0.869
Se  0.757  0.757  0.131



First-principles (PBE) data for an optimized crystal structure of LiZnIn2Se4, as listed in Alexandria via LeMat-Bulk.

**DOS(E_F)**: 2.08 states/eV per cell
**ΔE_f (raw)**: -0.669 eV per atom
**Total energy**: -3.495 eV/atom

Lattice parameters (Å, degrees): 7.295 7.115 6.278 65.67 62.70 51.64
Element x y z (fractional)
Li  0.000  0.000  0.000
Zn  0.497  0.497  0.503
In  0.252  0.252  0.248
In  0.752  0.752  0.748
Se  0.134  0.622  0.866
Se  0.366  0.846  0.154
Se  0.622  0.134  0.378
Se  0.846  0.366  0.634



First-principles (PBE) data for an optimized crystal structure of LiInSi, as listed in Alexandria via LeMat-Bulk.

**DOS(E_F)**: 0.50 states/eV per cell
**ΔE_f (raw)**: -0.079 eV per atom
**Total energy**: -3.438 eV/atom

Lattice parameters (Å, degrees): 4.407 4.407 7.195 90.00 90.00 120.00
Element x y z (fractional)
Li  0.000  0.000  0.000
Li  0.000  0.000  0.500
In  0.667  0.333  0.207
In  0.667  0.333  0.793
Si  0.333  0.667  0.329
Si  0.333  0.667  0.671



First-principles (PBE) data for an optimized crystal structure of LiInSi, as listed in Alexandria via LeMat-Bulk.

**DOS(E_F)**: 1.72 states/eV per cell
**ΔE_f (raw)**: -0.049 eV per atom
**Total energy**: -3.408 eV/atom

Lattice parameters (Å, degrees): 5.412 3.810 5.708 90.00 104.17 90.00
Element x y z (fractional)
Li  0.094  0.250  0.388
Li  0.906  0.750  0.612
In  0.237  0.250  0.937
In  0.763  0.750  0.063
Si  0.422  0.750  0.602
Si  0.578  0.250  0.398